# BaScP2Pt

A relaxed structure of BaScP2Pt (PBE, Alexandria via LeMat-Bulk).

Lattice parameters (Å, degrees): 5.0325 5.0325 4.9156 90.00 90.00 90.00
With the nearest neighbours (Å) after each atom.
Space group P4/mmm (No. 123)
Inequivalent atoms, fractional coordinates:
1 Ba 0.0000 0.0000 0.0000 (multiplicity 1)  8 P 3.52, 4 Sc 3.56
2 Sc 0.5000 0.5000 0.0000 (multiplicity 1)  2 Pt 2.46
3 P 0.0000 0.5000 0.5000 (multiplicity 2)  2 Pt 2.52
4 Pt 0.5000 0.5000 0.5000 (multiplicity 1)  2 Sc 2.46, 4 P 2.52

Computed properties:
- ΔE_f: -0.73 eV/f.u.
- Total DFT energy (no corrections): -5.169 eV/atom
- V: 24.898 A^3/atom